Record 1
Computed, not measured: a relaxed Tb4Nd3Hg crystal at the GGA-PBE level of DFT.

POSCAR file:
```
Tb4Nd3Hg
1.0
3.633 0.000 0.000
0.000 3.633 0.000
0.000 0.000 19.236
Nd Tb Hg
3 4 1
Cartesian
1.817 1.817 4.514
1.817 1.817 9.618
1.817 1.817 14.722
0.000 0.000 17.260
0.000 0.000 1.976
0.000 0.000 7.067
0.000 0.000 12.169
1.817 1.817 0.000
```

- electronic total energy (eV per atom) = -4.2510
- DOS at the Fermi energy (states/eV/cell) = 10.0

Record 2
Computed, not measured: a relaxed Pm2Sm2HoEr crystal at the GGA-PBE level of DFT.

POSCAR file:
```
Pm2Sm2HoEr
1.0
5.673 0.000 0.000
0.000 7.050 0.000
0.000 0.000 9.822
Pm Sm Ho Er
4 4 2 2
Cartesian
0.000 1.816 8.240
2.836 1.817 3.229
0.000 5.341 1.583
2.836 5.342 6.593
2.836 0.053 0.001
0.000 1.816 1.741
2.836 3.578 9.822
0.000 5.341 8.081
2.836 1.816 6.464
2.836 5.341 3.358
0.000 0.054 4.911
0.000 3.579 4.911
```

- electronic total energy (eV per atom) = -4.6193
- DOS at the Fermi energy (states/eV/cell) = 18.6

Record 3
Computed, not measured: a relaxed SrSeS2Cl crystal at the GGA-PBE level of DFT.

POSCAR file:
```
SrSeS2Cl
1.0
5.902 0.000 0.000
0.000 5.902 0.000
0.000 0.000 5.509
Sr S Se Cl
1 2 1 1
Cartesian
0.000 0.000 0.000
0.000 2.951 0.000
2.951 0.000 0.000
2.951 2.951 2.754
0.000 0.000 2.754
```

- energy relative to the lowest polymorph listed for this composition (kJ per mole of atoms) = 82.9
- formation energy from raw total energies (eV/atom) = 0.149
- electronic total energy (eV per atom) = -2.9049
- DOS at the Fermi energy (states/eV/cell) = 7.1

Record 4
Computed, not measured: a relaxed SmPa2Re9 crystal at the GGA-PBE level of DFT.

POSCAR file:
```
SmPa2Re9
1.0
-2.354 3.896 -2.694
-2.235 -1.002 -4.688
-9.446 -0.929 1.719
Sm Pa Re
1 2 9
Cartesian
0.000 0.000 0.000
-8.069 2.062 -5.544
-5.966 -0.096 -0.118
-3.112 1.917 -4.893
-10.923 0.049 -0.769
-7.018 0.983 -2.831
-4.239 0.972 -2.640
-5.434 2.949 -4.007
-5.373 0.464 -5.018
-9.796 0.993 -3.022
-8.662 1.501 -0.644
-8.602 -0.983 -1.656
```

- electronic total energy (eV per atom) = -11.3449
- DOS at the Fermi energy (states/eV/cell) = 13.5

Record 5
Computed, not measured: a relaxed Li2Cd2Sn crystal at the GGA-PBE level of DFT.

POSCAR file:
```
Li2Cd2Sn
1.0
-2.260 4.975 -5.801
3.507 -4.700 -5.397
-2.783 -1.673 -0.351
Li Sn Cd
4 2 4
Cartesian
0.571 -3.141 -4.748
0.021 -1.430 -8.541
-2.106 1.743 -6.802
-1.556 0.032 -3.009
0.000 0.000 0.000
0.624 0.138 -5.599
2.214 -2.248 -6.833
0.248 1.360 -8.447
-0.967 2.524 -4.365
1.000 -1.085 -2.751
```

- energy relative to the lowest polymorph listed for this composition (kJ per mole of atoms) = 4.3
- electronic total energy (eV per atom) = -2.1253
- DOS at the Fermi energy (states/eV/cell) = 2.7

Record 6
Computed, not measured: a relaxed BaCdGeP2 crystal at the GGA-PBE level of DFT.

POSCAR file:
```
BaCdGeP2
1.0
6.210 0.000 0.000
0.000 6.726 -0.283
0.000 -2.215 5.881
Ba Cd Ge P
2 2 2 4
Cartesian
1.399 1.702 4.269
4.811 2.809 1.329
3.429 -0.554 1.470
2.781 -1.662 4.411
0.000 0.000 0.000
0.000 -1.108 2.941
4.457 2.747 4.659
4.457 0.656 3.880
1.753 3.855 1.718
1.753 1.764 0.939
```

- electronic total energy (eV per atom) = -3.9180
- DOS at the Fermi energy (states/eV/cell) = 5.1

Record 7
Computed, not measured: a relaxed ZnReSN2 crystal at the GGA-PBE level of DFT.

POSCAR file:
```
ZnReSN2
1.0
-0.441 -1.827 -3.305
-2.894 -1.974 1.478
-3.364 3.726 -1.610
Re Zn S N
1 1 1 2
Cartesian
0.000 0.000 0.000
-3.350 -0.037 -1.719
-1.682 1.863 -0.805
-1.447 -0.987 0.739
-0.221 -0.913 -1.652
```

- energy relative to the lowest polymorph listed for this composition (kJ per mole of atoms) = 0.0
- formation energy from raw total energies (eV/atom) = 0.390
- electronic total energy (eV per atom) = -6.5096
- DOS at the Fermi energy (states/eV/cell) = 4.1

Record 8
Computed, not measured: a relaxed ThAsHRh crystal at the GGA-PBE level of DFT.

POSCAR file:
```
ThAsHRh
1.0
-3.828 -1.412 -1.597
3.739 -1.040 -2.033
0.283 -3.214 2.164
Th As H Rh
1 1 1 1
Cartesian
-1.563 -1.967 -0.525
-0.199 -4.806 -1.286
0.957 -1.814 -0.691
1.093 -3.353 0.346
```

- electronic total energy (eV per atom) = -6.7109
- DOS at the Fermi energy (states/eV/cell) = 0.6